VASP calculation (meta-GGA SCAN) on a PBEsol-optimized structure of Mg3Mo.

Structure (POSCAR):
```
Mg3Mo
1.0
6.7012 0.0000 0.0000
0.0000 6.7012 0.0000
0.0000 0.0000 6.7012
Mg Mo
12 4
Direct
0.0000 0.0000 0.0000 Mg
0.0000 0.5000 0.5000 Mg
0.2500 0.2500 0.2500 Mg
0.2500 0.2500 0.7500 Mg
0.2500 0.7500 0.2500 Mg
0.2500 0.7500 0.7500 Mg
0.5000 0.0000 0.5000 Mg
0.5000 0.5000 0.0000 Mg
0.7500 0.2500 0.2500 Mg
0.7500 0.2500 0.7500 Mg
0.7500 0.7500 0.2500 Mg
0.7500 0.7500 0.7500 Mg
0.0000 0.0000 0.5000 Mo
0.0000 0.5000 0.0000 Mo
0.5000 0.0000 0.0000 Mo
0.5000 0.5000 0.5000 Mo
```

Summary:
**V**: 18.81 Å³ per atom
**Energy of formation**: 0.383 eV/atom